(1)
## Mg2SiNi (GGA-PBEsol)

Data for crystalline Mg2SiNi at its relaxed geometry.

ΔE_f (raw): -0.092 eV/atom

Unit cell a=3.888 b=3.904 c=3.904 alpha=90.00 beta=90.00 gamma=90.00
Fractional positions:
Mg1 0.000 0.000 0.500
Mg2 0.000 0.500 0.000
Si1 0.500 0.000 0.000
Ni1 0.500 0.500 0.500

(2)
## ReIr2Cl (GGA-PBEsol)

Data for crystalline ReIr2Cl at its relaxed geometry.

ΔE_f (raw): 0.471 eV/atom
excess energy over the best structure of this formula in the dataset: 60 kJ/mol of formula units

Unit cell a=2.748 b=3.686 c=6.203 alpha=90.00 beta=90.01 gamma=90.00
Fractional positions:
Re1 0.250 0.000 0.458
Ir1 0.750 0.500 0.259
Ir2 0.250 0.000 0.039
Cl1 0.251 0.500 0.744

(3)
## Mn2PdI2 (GGA-PBEsol)

Data for crystalline Mn2PdI2 at its relaxed geometry.

ΔE_f (raw): 0.531 eV/atom

Unit cell a=3.559 b=3.559 c=8.035 alpha=102.80 beta=102.80 gamma=90.00
Fractional positions:
I1 0.380 0.380 0.760
I2 0.620 0.620 0.240
Mn1 0.250 0.750 0.500
Mn2 0.750 0.250 0.500
Pd1 0.000 0.000 0.000

(4)
## AlInOs2 (GGA-PBEsol)

Data for crystalline AlInOs2 at its relaxed geometry.

excess energy over the best structure of this formula in the dataset: 52 kJ/mol of formula units
DFT formation energy: 0.2206 eV per atom

Unit cell a=2.827 b=2.827 c=8.995 alpha=80.96 beta=80.96 gamma=60.00
Fractional positions:
In1 0.000 0.000 0.000
Os1 0.243 0.243 0.272
Os2 0.757 0.757 0.728
Al1 0.500 0.500 0.500

(5)
## PrCd2 (GGA-PBEsol)

Data for crystalline PrCd2 at its relaxed geometry.

DFT formation energy: -0.3749 eV per atom

Unit cell a=3.363 b=5.025 c=5.025 alpha=120.00 beta=90.00 gamma=90.00
Fractional positions:
Cd1 0.000 0.667 0.333
Cd2 0.000 0.333 0.667
Pr1 0.500 0.000 0.000

(6)
## BiH2Au2 (GGA-PBEsol)

Data for crystalline BiH2Au2 at its relaxed geometry.

DFT total energy: -3.41 eV/atom

Unit cell a=2.903 b=7.869 c=7.869 alpha=90.00 beta=90.00 gamma=90.00
Fractional positions:
Au1 0.000 0.737 0.763
Au2 0.000 0.763 0.263
Au3 0.000 0.263 0.237
Au4 0.000 0.237 0.737
Bi1 0.000 0.500 0.500
Bi2 0.000 0.000 0.000
H1 0.500 0.035 0.535
H2 0.500 0.535 0.965
H3 0.500 0.965 0.465
H4 0.500 0.465 0.035

(7)
## HgAsIr2 (GGA-PBEsol)

Data for crystalline HgAsIr2 at its relaxed geometry.

excess energy over the best structure of this formula in the dataset: 53 kJ/mol of formula units
DFT formation energy: 0.5593 eV per atom

Unit cell a=2.863 b=4.960 c=5.398 alpha=117.28 beta=105.26 gamma=90.24
Fractional positions:
Ir1 0.500 0.500 0.500
Ir2 0.000 0.000 0.500
As1 0.500 0.000 0.000
Hg1 0.000 0.500 0.000

(8)
## MgReIr (GGA-PBEsol)

Data for crystalline MgReIr at its relaxed geometry.

DFT formation energy: -0.0443 eV per atom

Unit cell a=2.804 b=2.804 c=6.138 alpha=103.21 beta=103.21 gamma=90.00
Fractional positions:
Re1 0.654 0.654 0.309
Ir1 0.009 0.009 0.017
Mg1 0.337 0.337 0.674

(9)
## SmIn2Pd (GGA-PBEsol)

Data for crystalline SmIn2Pd at its relaxed geometry.

DFT formation energy: -0.7104 eV per atom

Unit cell a=9.106 b=10.756 c=10.756 alpha=79.68 beta=64.96 gamma=64.96
Fractional positions:
In1 0.775 0.209 0.493
In2 0.091 0.264 0.000
In3 0.247 0.617 0.617
In4 0.556 0.164 0.164
In5 0.091 0.000 0.264
In6 0.864 0.617 0.383
In7 0.884 0.836 0.836
In8 0.775 0.493 0.209
In9 0.720 0.836 0.164
In10 0.482 0.383 0.383
In11 0.477 0.507 0.791
In12 0.477 0.791 0.507
In13 0.720 0.164 0.836
In14 0.355 0.000 0.736
In15 0.268 0.507 0.209
In16 0.984 0.791 0.493
In17 0.984 0.493 0.791
In18 0.864 0.383 0.617
In19 0.355 0.736 0.000
In20 0.268 0.209 0.507
Sm1 0.077 0.000 0.595
Sm2 0.389 0.719 0.281
Sm3 0.077 0.595 0.000
Sm4 0.669 0.719 0.719
Sm5 0.673 0.405 0.000
Sm6 0.108 0.281 0.281
Sm7 0.673 0.000 0.405
Sm8 0.993 0.000 0.000
Sm9 0.464 0.000 0.000
Sm10 0.389 0.281 0.719
Pd1 0.695 0.679 0.000
Pd2 0.116 0.500 0.500
Pd3 0.812 0.217 0.217
Pd4 0.029 0.217 0.783
Pd5 0.695 0.000 0.679
Pd6 0.245 0.783 0.783
Pd7 0.029 0.783 0.217
Pd8 0.616 0.500 0.500
Pd9 0.374 0.321 0.000
Pd10 0.374 0.000 0.321

(10)
## Cs2ReF6 (GGA-PBEsol)

Data for crystalline Cs2ReF6 at its relaxed geometry.

ΔE_f (raw): -2.495 eV/atom

Unit cell a=4.951 b=6.232 c=6.232 alpha=120.00 beta=90.00 gamma=90.00
Fractional positions:
Cs1 0.704 0.667 0.333
Cs2 0.296 0.333 0.667
F1 0.216 0.847 0.693
F2 0.784 0.153 0.307
F3 0.216 0.847 0.153
F4 0.784 0.693 0.847
F5 0.216 0.307 0.153
F6 0.784 0.153 0.847
Re1 0.000 0.000 0.000

(11)
## Rb3AgRu (GGA-PBEsol)

Data for crystalline Rb3AgRu at its relaxed geometry.

DFT formation energy: 1.1474 eV per atom

Unit cell a=6.111 b=6.111 c=6.111 alpha=90.00 beta=90.00 gamma=90.00
Fractional positions:
Ru1 0.000 0.000 0.000
Rb1 0.000 0.000 0.500
Rb2 0.000 0.500 0.000
Rb3 0.500 0.000 0.000
Ag1 0.500 0.500 0.500

(12)
## CrFe2Au (GGA-PBEsol)

Data for crystalline CrFe2Au at its relaxed geometry.

DFT formation energy: 0.1851 eV per atom

Unit cell a=3.691 b=3.691 c=4.532 alpha=114.03 beta=114.03 gamma=90.00
Fractional positions:
Au1 0.500 0.500 0.000
Fe1 0.750 0.250 0.500
Fe2 0.000 0.000 0.000
Cr1 0.250 0.750 0.500